## NaBi4Pb6 (PBE)

Data for a relaxed NaBi4Pb6 crystal.

Calculated values
formation enthalpy at 0 K = -0.002 eV per atom
total energy = -39.12 eV for the cell shown
crystal system = hexagonal
calculated volume = 389.8 Å³ per cell
energy relative to the lowest polymorph listed for this composition = 0.09 eV per formula unit

Cell lengths 9.7587, 9.7587, 4.7264 Å; angles 90.00, 90.00, 120.00 degrees
Space group P-6m2 (No. 187)
Symmetry-distinct sites (fractional):
Na1 0.0000 0.0000 0.0000 x1
Bi1 0.3333 0.6667 0.0000 x1
Bi2 0.3586 0.1793 0.5000 x3
Pb1 0.1927 0.3854 0.5000 x3
Pb2 0.5439 0.0878 0.0000 x3